Compound: BeB4Pt
Source: OQMD
Functional: PBE
Structure: relaxed

```
data_BeB4Pt
_cell_length_a 2.977
_cell_length_b 5.163
_cell_length_c 6.722
_cell_angle_alpha 90.00
_cell_angle_beta 90.00
_cell_angle_gamma 90.00
_symmetry_space_group_name_H-M 'I m m m'
_symmetry_Int_Tables_number 71
_symmetry_space_group_name_Hall '-I 2 2'
loop_
_atom_site_label
_atom_site_type_symbol
_atom_site_fract_x
_atom_site_fract_y
_atom_site_fract_z
Be1 Be 0.000 0.000 0.000
B1 B 0.000 0.332 0.269
Pt1 Pt 0.000 0.000 0.500
```

Results
As for the crystal system: orthorhombic. As for the density: 7.9 g/cm3. The calculation puts the distance to the lowest polymorph of the same formula at 65 meV/atom.